Entry 1:
Density functional theory data (meta-GGA SCAN) for a PBEsol-optimized structure of Y2ZnAu.

The structure in extended XYZ format:
```
4
Lattice="4.498 0.000 0.000 2.249 3.895 0.000 2.249 1.298 5.387" Properties=species:S:1:pos:R:3 pbc="T T T"
Y 6.747 3.895 0.487
Y 6.747 3.895 3.574
Zn 4.498 2.597 1.853
Au 2.249 1.298 2.167
```

Computed properties:
The symmetry is R3m, No. 160. Its total magnetization is 0.2 μB/f.u. For the formation energy, the calculation gives -582 meV per atom. Its crystal system is trigonal.

---

Entry 2:
Density functional theory data (meta-GGA SCAN) for a PBEsol-optimized structure of YZnAu.

The structure in extended XYZ format:
```
3
Lattice="3.448 0.000 0.000 0.000 4.476 0.000 0.000 -2.238 3.876" Properties=species:S:1:pos:R:3 pbc="T T T"
Zn 1.724 2.238 1.292
Y 0.000 0.000 2.584
Au 1.724 0.000 0.000
```

Computed properties:
The symmetry is P-6m2, No. 187. Its total magnetization is 0.0 μB/f.u. For the formation energy, the calculation gives -877 meV per atom. Its crystal system is hexagonal.

---

Entry 3:
Density functional theory data (meta-GGA SCAN) for a PBEsol-optimized structure of Y2ZnAu2.

The structure in extended XYZ format:
```
10
Lattice="-2.925 2.285 -0.318 -3.911 -5.505 -3.595 -2.674 -2.489 6.721" Properties=species:S:1:pos:R:3 pbc="T T T"
Au -3.765 -4.193 4.514
Au -1.499 -1.641 2.007
Au -5.086 -6.354 1.120
Au -2.820 -3.802 -1.387
Zn -3.293 -3.997 1.563
Zn 0.000 0.000 0.000
Y -6.304 -4.615 3.001
Y -3.926 -1.469 3.737
Y -5.584 -4.240 -0.928
Y -3.206 -1.094 -0.192
```

Computed properties:
The symmetry is P4/mbm, No. 127. Its total magnetization is 0.0 μB/f.u. For the formation energy, the calculation gives -902 meV per atom. Its crystal system is tetragonal.

---

Entry 4:
Density functional theory data (meta-GGA SCAN) for a PBEsol-optimized structure of Y2ZnAu.

The structure in extended XYZ format:
```
4
Lattice="-3.321 -1.243 -0.811 1.374 -3.326 -0.530 -1.056 -1.491 6.610" Properties=species:S:1:pos:R:3 pbc="T T T"
Au -1.746 -3.375 4.167
Y -1.287 -2.727 1.292
Y -1.005 -1.418 6.288
Zn -0.549 -0.775 3.436
```

Computed properties:
The symmetry is P4mm, No. 99. Its total magnetization is 1.4 μB/f.u. For the formation energy, the calculation gives -557 meV per atom. Its crystal system is tetragonal.

---

Entry 5:
Density functional theory data (meta-GGA SCAN) for a PBEsol-optimized structure of YZnAu2.

The structure in extended XYZ format:
```
4
Lattice="4.361 0.000 0.000 0.000 4.361 0.000 -2.181 -2.181 3.903" Properties=species:S:1:pos:R:3 pbc="T T T"
Au 2.181 0.000 1.952
Au 0.000 0.000 0.000
Zn 0.000 2.181 1.952
Y 2.181 2.181 0.000
```

Computed properties:
The symmetry is I-4m2, No. 119. Its total magnetization is 0.0 μB/f.u. For the formation energy, the calculation gives -678 meV per atom. Its crystal system is tetragonal.

---

Entry 6:
Density functional theory data (meta-GGA SCAN) for a PBEsol-optimized structure of Y2ZnAu.

The structure in extended XYZ format:
```
4
Lattice="3.548 0.000 0.000 0.000 4.983 0.000 0.000 0.000 4.983" Properties=species:S:1:pos:R:3 pbc="T T T"
Au 1.774 0.000 0.000
Zn 1.774 2.491 2.491
Y 0.000 2.491 0.000
Y 0.000 0.000 2.491
```

Computed properties:
The symmetry is P4/mmm, No. 123. Its total magnetization is 0.0 μB/f.u. For the formation energy, the calculation gives -814 meV per atom. Its crystal system is tetragonal.

---

Entry 7:
Density functional theory data (meta-GGA SCAN) for a PBEsol-optimized structure of YZr2Au.

The structure in extended XYZ format:
```
4
Lattice="3.337 0.000 0.000 0.000 3.337 0.000 0.000 0.000 7.945" Properties=species:S:1:pos:R:3 pbc="T T T"
Au 1.669 1.669 0.000
Zr 0.000 0.000 1.738
Zr 0.000 0.000 6.207
Y 1.669 1.669 3.973
```

Computed properties:
The symmetry is P4/mmm, No. 123. Its total magnetization is 0.0 μB/f.u. For the formation energy, the calculation gives -271 meV per atom. Its crystal system is tetragonal.

---

Entry 8:
Density functional theory data (meta-GGA SCAN) for a PBEsol-optimized structure of Y2ZrAu.

The structure in extended XYZ format:
```
4
Lattice="-4.004 -0.084 1.672 -0.103 -4.314 -0.462 3.947 1.671 3.904" Properties=species:S:1:pos:R:3 pbc="T T T"
Y 0.000 0.000 0.000
Y -1.055 -0.306 3.091
Au 0.896 -2.421 2.023
Zr -2.053 -2.199 0.605
```

Computed properties:
The symmetry is I-4m2, No. 119. Its total magnetization is 0.0 μB/f.u. For the formation energy, the calculation gives -258 meV per atom. Its crystal system is tetragonal.

---

| no. | volume (Å³/cell) | calculated total energy (eV per formula unit) |
| --- | --- | --- |
| 1 | 94.4 | -140.7 |
| 2 | 59.8 | -113.1 |
| 3 | 218.0 | -212.0 |
| 4 | 90.7 | -140.6 |
| 5 | 74.2 | -182.4 |
| 6 | 88.1 | -141.6 |
| 7 | 88.5 | -159.5 |
| 8 | 92.7 | -156.6 |